(1)
The following is a DFT calculation (PBEsol) of Ta2CrNO5 after structural relaxation.

Computed properties:
Symmetry = No. 31
ΔE_f (raw) = -2.27 eV/atom
Energy above the most stable polymorph in this dataset = 0.00 eV per formula unit

a b c (Å): 9.104 4.685 4.688
angles (deg): 90.00 90.00 90.00
Fractional coordinates of all 18 atoms:
Ta: 0.163 0.244 0.000
Ta: 0.337 0.756 0.500
Ta: 0.663 0.756 0.500
Ta: 0.837 0.244 0.000
Cr: 0.000 0.751 0.480
Cr: 0.500 0.249 0.980
N: 0.000 0.047 0.184
N: 0.500 0.953 0.684
O: 0.000 0.445 0.787
O: 0.166 0.554 0.287
O: 0.167 0.946 0.679
O: 0.333 0.054 0.179
O: 0.334 0.446 0.787
O: 0.500 0.555 0.287
O: 0.666 0.446 0.787
O: 0.667 0.054 0.179
O: 0.833 0.946 0.679
O: 0.834 0.554 0.287



(2)
The following is a DFT calculation (PBEsol) of Li3Ni after structural relaxation.

Computed properties:
Symmetry = No. 166
Energy of formation from the pure elements = 0.3 eV/f.u.

a b c (Å): 9.210 9.210 9.210
angles (deg): 16.38 16.38 16.38
Fractional coordinates of all 4 atoms:
Li: 0.000 0.000 0.000
Li: 0.239 0.239 0.239
Li: 0.761 0.761 0.761
Ni: 0.500 0.500 0.500



(3)
The following is a DFT calculation (PBEsol) of Be2RuPt after structural relaxation.

Computed properties:
Symmetry = No. 122
Energy of formation from the pure elements = 0.3 eV/f.u.
Energy above the most stable polymorph in this dataset = 2.36 eV per formula unit

a b c (Å): 4.980 4.980 4.980
angles (deg): 106.88 106.88 114.80
Fractional coordinates of all 8 atoms:
Be: 0.125 0.625 0.000
Be: 0.375 0.375 0.500
Be: 0.625 0.125 0.000
Be: 0.875 0.875 0.500
Ru: 0.000 0.000 0.000
Ru: 0.750 0.250 0.500
Pt: 0.250 0.750 0.500
Pt: 0.500 0.500 0.000